VASP calculation (GGA-PBE) on a relaxed Sm2DyPd9 crystal.

Summary:
- DFT total energy: -5.892 eV/atom

Geometry as CIF:
```
data_Sm2DyPd9
_space_group_name_H-M_alt 'P 4/m m m'
_space_group_IT_number 123
_space_group_name_Hall '-P 4 2'
_cell_length_a 4.160
_cell_length_b 4.160
_cell_length_c 12.455
_cell_angle_alpha 90.00
_cell_angle_beta 90.00
_cell_angle_gamma 90.00
loop_
_atom_site_label
_atom_site_fract_x
_atom_site_fract_y
_atom_site_fract_z
Sm1 0.000 0.000 0.169
Dy1 0.000 0.000 0.500
Pd1 0.000 0.500 0.000
Pd2 0.000 0.500 0.337
Pd3 0.500 0.500 0.168
Pd4 0.500 0.500 0.500
```


VASP calculation (GGA-PBE) on a relaxed AcAgAu crystal.

Summary:
- DFT total energy: -3.917 eV/atom
- Relative energy among the computed polymorphs: 0.25 eV/f.u.

Geometry as CIF:
```
data_AcAgAu
_space_group_name_H-M_alt 'P -1'
_space_group_IT_number 2
_cell_length_a 4.816
_cell_length_b 5.888
_cell_length_c 6.304
_cell_angle_alpha 78.98
_cell_angle_beta 67.58
_cell_angle_gamma 89.91
loop_
_space_group_symop_operation_xyz
'x,y,z'
'-x,-y,-z'
loop_
_atom_site_label
_atom_site_fract_x
_atom_site_fract_y
_atom_site_fract_z
Ac1 0.117 0.299 0.268
Ag1 0.413 0.282 0.674
Au1 0.225 0.839 0.049
```


VASP calculation (GGA-PBE) on a relaxed PmEuEr2 crystal.

Summary:
- DFT total energy: -5.970 eV/atom
- Relative energy among the computed polymorphs: 0.00 eV/f.u.

Geometry as CIF:
```
data_PmEuEr2
_space_group_name_H-M_alt 'P 4/m m m'
_space_group_IT_number 123
_space_group_name_Hall '-P 4 2'
_cell_length_a 3.633
_cell_length_b 3.633
_cell_length_c 10.227
_cell_angle_alpha 90.00
_cell_angle_beta 90.00
_cell_angle_gamma 90.00
loop_
_atom_site_label
_atom_site_fract_x
_atom_site_fract_y
_atom_site_fract_z
Pm1 0.000 0.000 0.000
Eu1 0.000 0.000 0.500
Er1 0.500 0.500 0.237
```


Quick rundown of DFT formation energy, same order as above: -0.83 -0.50 0.07 eV/atom